! ScBe2Hg | Alexandria via LeMat-Bulk | PBE-GGA | relaxed; values from VASP
&SYSTEM
  ibrav = 0, nat = 4, ntyp = 3
/
ATOMIC_SPECIES
Sc 44.96 Sc.upf
Be 9.01 Be.upf
Hg 200.59 Hg.upf
CELL_PARAMETERS angstrom
-0.1280 1.2157 3.6426
-2.3964 -2.3158 0.6887
2.0878 -4.2221 1.4825
ATOMIC_POSITIONS crystal
Sc 0.5000 0.7760 0.8233
Be 0.0000 0.1815 0.0118
Be 0.5000 0.0675 0.2397
Hg 0.0000 0.4749 0.4252
! * calculated formation energy: 0.006 eV per atom
! * total magnetic moment: 0.000 μB/cell
! * crystal system: orthorhombic
! * E: -0.2584 Ry per atom

***

! ScBe2Hg | Alexandria via LeMat-Bulk | PBE-GGA | relaxed; values from VASP
&SYSTEM
  ibrav = 0, nat = 8, ntyp = 3
/
ATOMIC_SPECIES
Sc 44.96 Sc.upf
Be 9.01 Be.upf
Hg 200.59 Hg.upf
CELL_PARAMETERS angstrom
4.2205 0.0000 0.0000
0.0000 4.2205 0.0000
2.1102 2.1102 8.1917
ATOMIC_POSITIONS crystal
Sc 0.5000 0.5000 0.0000
Sc 0.2500 0.7500 0.5000
Be 0.8750 0.1250 0.2500
Be 0.8750 0.6250 0.2500
Be 0.3750 0.1250 0.7500
Be 0.8750 0.1250 0.7500
Hg 0.0000 0.0000 0.0000
Hg 0.7500 0.2500 0.5000
! * calculated formation energy: 0.302 eV per atom
! * total magnetic moment: 0.000 μB/cell
! * crystal system: tetragonal
! * E: -0.2366 Ry per atom

***

! ScBeHg | Alexandria via LeMat-Bulk | PBE-GGA | relaxed; values from VASP
&SYSTEM
  ibrav = 0, nat = 6, ntyp = 3
/
ATOMIC_SPECIES
Be 9.01 Be.upf
Hg 200.59 Hg.upf
Sc 44.96 Sc.upf
CELL_PARAMETERS angstrom
-2.8287 -1.7657 -1.8028
0.0431 -3.6156 3.4735
-2.2891 4.7008 2.9728
ATOMIC_POSITIONS crystal
Be 0.7677 0.1320 0.5354
Be 0.2323 0.8680 0.4646
Hg 0.5836 0.7778 0.1672
Hg 0.4164 0.2222 0.8328
Sc 0.8694 0.6804 0.7388
Sc 0.1306 0.3196 0.2612
! * calculated formation energy: -0.140 eV per atom
! * total magnetic moment: 0.000 μB/cell
! * crystal system: monoclinic
! * E: -0.2641 Ry per atom

***

! Sc2BeHg2 | Alexandria via LeMat-Bulk | PBE-GGA | relaxed; values from VASP
&SYSTEM
  ibrav = 0, nat = 10, ntyp = 3
/
ATOMIC_SPECIES
Sc 44.96 Sc.upf
Be 9.01 Be.upf
Hg 200.59 Hg.upf
CELL_PARAMETERS angstrom
6.7011 0.0000 0.0000
0.0000 6.7011 0.0000
0.0000 0.0000 4.5496
ATOMIC_POSITIONS crystal
Sc 0.1663 0.6663 0.5000
Sc 0.6663 0.8337 0.5000
Sc 0.8337 0.3337 0.5000
Sc 0.3337 0.1663 0.5000
Be 0.0000 0.0000 0.0000
Be 0.5000 0.5000 0.0000
Hg 0.3484 0.8484 0.0000
Hg 0.8484 0.6516 0.0000
Hg 0.6516 0.1516 0.0000
Hg 0.1516 0.3484 0.0000
! * calculated formation energy: -0.080 eV per atom
! * total magnetic moment: 0.000 μB/cell
! * crystal system: tetragonal
! * E: -0.2557 Ry per atom

***

! ScBe2Hg | Alexandria via LeMat-Bulk | PBE-GGA | relaxed; values from VASP
&SYSTEM
  ibrav = 0, nat = 4, ntyp = 3
/
ATOMIC_SPECIES
Sc 44.96 Sc.upf
Be 9.01 Be.upf
Hg 200.59 Hg.upf
CELL_PARAMETERS angstrom
4.2200 0.0000 0.0000
0.0000 4.2200 0.0000
0.0000 0.0000 3.4740
ATOMIC_POSITIONS crystal
Sc 0.0000 0.5000 0.5000
Be 0.0000 0.0000 0.0000
Be 0.5000 0.5000 0.0000
Hg 0.5000 0.0000 0.5000
! * calculated formation energy: 0.154 eV per atom
! * total magnetic moment: 0.000 μB/cell
! * crystal system: tetragonal
! * E: -0.2475 Ry per atom

***

! Sc4BeHg | Alexandria via LeMat-Bulk | PBE-GGA | relaxed; values from VASP
&SYSTEM
  ibrav = 0, nat = 6, ntyp = 3
/
ATOMIC_SPECIES
Sc 44.96 Sc.upf
Be 9.01 Be.upf
Hg 200.59 Hg.upf
CELL_PARAMETERS angstrom
0.0000 4.0458 4.0458
4.0458 0.0000 4.0458
4.0458 4.0458 0.0000
ATOMIC_POSITIONS crystal
Sc 0.8737 0.3754 0.3754
Sc 0.3754 0.3754 0.8737
Sc 0.3754 0.8737 0.3754
Sc 0.3754 0.3754 0.3754
Be 0.7500 0.7500 0.7500
Hg 0.0000 0.0000 0.0000
! * calculated formation energy: 0.489 eV per atom
! * total magnetic moment: 0.000 μB/cell
! * crystal system: cubic
! * E: -0.3236 Ry per atom

***

! ScBe2Hg | Alexandria via LeMat-Bulk | PBE-GGA | relaxed; values from VASP
&SYSTEM
  ibrav = 0, nat = 4, ntyp = 3
/
ATOMIC_SPECIES
Sc 44.96 Sc.upf
Be 9.01 Be.upf
Hg 200.59 Hg.upf
CELL_PARAMETERS angstrom
4.1103 0.0000 0.0000
0.0000 3.1970 -0.0019
0.0000 0.0025 4.9990
ATOMIC_POSITIONS crystal
Sc 0.5000 0.7500 0.7500
Be 0.0000 0.2499 0.9714
Be 0.0000 0.2501 0.5286
Hg 0.5000 0.2500 0.2500
! * calculated formation energy: 0.098 eV per atom
! * total magnetic moment: 0.000 μB/cell
! * crystal system: orthorhombic
! * E: -0.2516 Ry per atom

***

! ScBeHg3 | Alexandria via LeMat-Bulk | PBE-GGA | relaxed; values from VASP
&SYSTEM
  ibrav = 0, nat = 5, ntyp = 3
/
ATOMIC_SPECIES
Sc 44.96 Sc.upf
Be 9.01 Be.upf
Hg 200.59 Hg.upf
CELL_PARAMETERS angstrom
4.7169 0.0000 0.0000
0.0000 4.7169 0.0000
0.0000 0.0000 4.7169
ATOMIC_POSITIONS crystal
Sc 0.5000 0.5000 0.5000
Be 0.0000 0.0000 0.0000
Hg 0.0000 0.5000 0.0000
Hg 0.0000 0.0000 0.5000
Hg 0.5000 0.0000 0.0000
! * calculated formation energy: 0.138 eV per atom
! * total magnetic moment: 0.000 μB/cell
! * crystal system: cubic
! * E: -0.1510 Ry per atom

***

! ScBeHg4 | Alexandria via LeMat-Bulk | PBE-GGA | relaxed; values from VASP
&SYSTEM
  ibrav = 0, nat = 6, ntyp = 3
/
ATOMIC_SPECIES
Sc 44.96 Sc.upf
Be 9.01 Be.upf
Hg 200.59 Hg.upf
CELL_PARAMETERS angstrom
0.0000 4.1041 4.1041
4.1041 0.0000 4.1041
4.1041 4.1041 0.0000
ATOMIC_POSITIONS crystal
Sc 0.7500 0.7500 0.7500
Be 0.0000 0.0000 0.0000
Hg 0.3750 0.8750 0.3750
Hg 0.8750 0.3750 0.3750
Hg 0.3750 0.3750 0.8750
Hg 0.3750 0.3750 0.3750
! * calculated formation energy: 0.471 eV per atom
! * total magnetic moment: 0.001 μB/cell
! * crystal system: cubic
! * E: -0.1034 Ry per atom

***

! ScBe2Hg | Alexandria via LeMat-Bulk | PBE-GGA | relaxed; values from VASP
&SYSTEM
  ibrav = 0, nat = 4, ntyp = 3
/
ATOMIC_SPECIES
Sc 44.96 Sc.upf
Be 9.01 Be.upf
Hg 200.59 Hg.upf
CELL_PARAMETERS angstrom
-3.6941 0.9354 1.3096
-3.1956 -0.6880 -2.3561
-2.7239 -3.9915 1.3973
ATOMIC_POSITIONS crystal
Sc 0.2500 0.2500 0.2500
Be 0.0419 0.0419 0.8754
Be 0.4581 0.4581 0.6246
Hg 0.7500 0.7500 0.7500
! * calculated formation energy: 0.056 eV per atom
! * total magnetic moment: 0.000 μB/cell
! * crystal system: monoclinic
! * E: -0.2547 Ry per atom

***

! ScBeHg | Alexandria via LeMat-Bulk | PBE-GGA | relaxed; values from VASP
&SYSTEM
  ibrav = 0, nat = 3, ntyp = 3
/
ATOMIC_SPECIES
Sc 44.96 Sc.upf
Be 9.01 Be.upf
Hg 200.59 Hg.upf
CELL_PARAMETERS angstrom
4.9133 -0.0081 0.0200
2.1390 4.4233 -0.0200
-3.1526 -2.8043 2.5176
ATOMIC_POSITIONS crystal
Sc 0.6625 0.6625 0.0000
Be 0.0064 0.0064 0.0000
Hg 0.3311 0.3311 0.0000
! * calculated formation energy: 0.159 eV per atom
! * total magnetic moment: 0.109 μB/cell
! * crystal system: orthorhombic
! * E: -0.2421 Ry per atom

***

! ScBe3Hg | Alexandria via LeMat-Bulk | PBE-GGA | relaxed; values from VASP
&SYSTEM
  ibrav = 0, nat = 5, ntyp = 3
/
ATOMIC_SPECIES
Sc 44.96 Sc.upf
Be 9.01 Be.upf
Hg 200.59 Hg.upf
CELL_PARAMETERS angstrom
4.8830 0.0000 0.0000
0.0000 4.8830 0.0000
0.0000 0.0000 4.8830
ATOMIC_POSITIONS crystal
Sc 0.0000 0.0000 0.0000
Be 0.0000 0.5000 0.0000
Be 0.0000 0.0000 0.5000
Be 0.5000 0.0000 0.0000
Hg 0.5000 0.5000 0.5000
! * calculated formation energy: 1.691 eV per atom
! * total magnetic moment: 1.648 μB/cell
! * crystal system: cubic
! * E: -0.1376 Ry per atom

***

! ScBe3Hg | Alexandria via LeMat-Bulk | PBE-GGA | relaxed; values from VASP
&SYSTEM
  ibrav = 0, nat = 5, ntyp = 3
/
ATOMIC_SPECIES
Sc 44.96 Sc.upf
Be 9.01 Be.upf
Hg 200.59 Hg.upf
CELL_PARAMETERS angstrom
4.3916 0.0000 0.0000
0.0000 4.3916 0.0000
0.0000 0.0000 4.3916
ATOMIC_POSITIONS crystal
Sc 0.5000 0.5000 0.5000
Be 0.0000 0.5000 0.0000
Be 0.0000 0.0000 0.5000
Be 0.5000 0.0000 0.0000
Hg 0.0000 0.0000 0.0000
! * calculated formation energy: 0.645 eV per atom
! * total magnetic moment: 0.000 μB/cell
! * crystal system: cubic
! * E: -0.2144 Ry per atom

***

! TmScBeHg | Alexandria via LeMat-Bulk | PBE-GGA | relaxed; values from VASP
&SYSTEM
  ibrav = 0, nat = 4, ntyp = 4
/
ATOMIC_SPECIES
Sc 44.96 Sc.upf
Be 9.01 Be.upf
Tm 168.93 Tm.upf
Hg 200.59 Hg.upf
CELL_PARAMETERS angstrom
-2.9603 0.1985 3.9070
1.8884 -0.2240 4.5222
-0.0166 3.9822 2.8651
ATOMIC_POSITIONS crystal
Sc 0.0000 0.0000 0.0000
Be 0.7500 0.7500 0.7500
Tm 0.5000 0.5000 0.5000
Hg 0.2500 0.2500 0.2500
! * calculated formation energy: -0.136 eV per atom
! * total magnetic moment: 0.001 μB/cell
! * crystal system: cubic
! * E: -0.2825 Ry per atom

***

! YScBeHg | Alexandria via LeMat-Bulk | PBE-GGA | relaxed; values from VASP
&SYSTEM
  ibrav = 0, nat = 4, ntyp = 4
/
ATOMIC_SPECIES
Y 88.91 Y.upf
Sc 44.96 Sc.upf
Hg 200.59 Hg.upf
Be 9.01 Be.upf
CELL_PARAMETERS angstrom
4.9520 0.0000 0.0000
2.4760 4.2886 0.0000
2.4760 1.4295 4.0433
ATOMIC_POSITIONS crystal
Y 0.2500 0.2500 0.2500
Sc 0.7500 0.7500 0.7500
Hg 0.5000 0.5000 0.5000
Be 0.0000 0.0000 0.0000
! * calculated formation energy: -0.135 eV per atom
! * total magnetic moment: 0.000 μB/cell
! * crystal system: cubic
! * E: -0.3190 Ry per atom

***

! Zr2ScBeHg | Alexandria via LeMat-Bulk | PBE-GGA | relaxed; values from VASP
&SYSTEM
  ibrav = 0, nat = 5, ntyp = 4
/
ATOMIC_SPECIES
Sc 44.96 Sc.upf
Be 9.01 Be.upf
Hg 200.59 Hg.upf
Zr 91.22 Zr.upf
CELL_PARAMETERS angstrom
-0.1158 2.3942 -4.6972
-4.6196 1.9565 1.1112
2.3063 4.2480 2.1084
ATOMIC_POSITIONS crystal
Sc 0.0000 0.5000 0.0000
Be 0.5000 0.5000 0.5000
Hg 0.0000 0.0000 0.0000
Zr 0.0000 0.0000 0.5000
Zr 0.5000 0.0000 0.0000
! * calculated formation energy: 1.184 eV per atom
! * total magnetic moment: 0.000 μB/cell
! * crystal system: tetragonal
! * E: -0.3166 Ry per atom

***

! BeHgSe2 | Alexandria via LeMat-Bulk | PBE-GGA | relaxed; values from VASP
&SYSTEM
  ibrav = 0, nat = 8, ntyp = 3
/
ATOMIC_SPECIES
Be 9.01 Be.upf
Hg 200.59 Hg.upf
Se 78.96 Se.upf
CELL_PARAMETERS angstrom
7.7703 0.0000 0.0000
0.0000 7.7703 0.0000
3.8851 3.8851 2.8048
ATOMIC_POSITIONS crystal
Be 0.7500 0.2500 0.5000
Be 0.2500 0.7500 0.5000
Hg 0.7500 0.7500 0.5000
Hg 0.2500 0.2500 0.5000
Se 0.8404 0.3404 0.0000
Se 0.1596 0.6596 0.0000
Se 0.3404 0.1596 0.0000
Se 0.6596 0.8404 0.0000
! * total magnetic moment: 0.000 μB/cell
! * E_form (uncorrected): -0.118 eV/atom
! * crystal system: tetragonal
! * E: -0.2108 Ry per atom

***

! BeHgSe2 | Alexandria via LeMat-Bulk | PBE-GGA | relaxed; values from VASP
&SYSTEM
  ibrav = 0, nat = 16, ntyp = 3
/
ATOMIC_SPECIES
Be 9.01 Be.upf
Hg 200.59 Hg.upf
Se 78.96 Se.upf
CELL_PARAMETERS angstrom
-12.2582 -9.2608 0.5690
2.9974 -3.6955 4.4266
2.8122 5.4271 2.6266
ATOMIC_POSITIONS crystal
Be 0.4629 0.1017 0.2928
Be 0.5371 0.8983 0.7072
Be 0.0371 0.6017 0.2072
Be 0.9629 0.3983 0.7928
Hg 0.2735 0.0368 0.1899
Hg 0.7265 0.9632 0.8101
Hg 0.2265 0.5368 0.3101
Hg 0.7735 0.4632 0.6899
Se 0.9841 0.0626 0.7998
Se 0.0159 0.9374 0.2002
Se 0.5159 0.5626 0.7002
Se 0.4841 0.4374 0.2998
Se 0.1230 0.4915 0.6537
Se 0.8770 0.5085 0.3463
Se 0.3770 0.9915 0.8463
Se 0.6230 0.0085 0.1537
! * total magnetic moment: 0.000 μB/cell
! * E_form (uncorrected): -0.130 eV/atom
! * crystal system: monoclinic
! * E: -0.2116 Ry per atom

***

! Be2HgSe | Alexandria via LeMat-Bulk | PBE-GGA | relaxed; values from VASP
&SYSTEM
  ibrav = 0, nat = 4, ntyp = 3
/
ATOMIC_SPECIES
Be 9.01 Be.upf
Hg 200.59 Hg.upf
Se 78.96 Se.upf
CELL_PARAMETERS angstrom
-6.6495 1.2880 0.0582
-5.7703 -3.0292 -1.8455
6.0362 -0.1246 3.0704
ATOMIC_POSITIONS crystal
Be 0.0000 0.0000 0.0000
Be 0.2500 0.7500 0.5000
Hg 0.5000 0.5000 0.0000
Se 0.7500 0.2500 0.5000
! * total magnetic moment: 0.000 μB/cell
! * E_form (uncorrected): 0.354 eV/atom
! * crystal system: tetragonal
! * E: -0.1805 Ry per atom

***

! BeHg2Se | Alexandria via LeMat-Bulk | PBE-GGA | relaxed; values from VASP
&SYSTEM
  ibrav = 0, nat = 8, ntyp = 3
/
ATOMIC_SPECIES
Be 9.01 Be.upf
Hg 200.59 Hg.upf
Se 78.96 Se.upf
CELL_PARAMETERS angstrom
-4.6695 -1.0107 4.6132
2.4841 -6.0431 1.1905
1.5316 -1.8526 5.9250
ATOMIC_POSITIONS crystal
Be 0.5000 0.5000 0.0000
Be 0.2500 0.7500 0.5000
Hg 0.5820 0.1250 0.2500
Hg 0.1680 0.6250 0.2500
Hg 0.3750 0.4180 0.7500
Hg 0.8750 0.8320 0.7500
Se 0.0000 0.0000 0.0000
Se 0.7500 0.2500 0.5000
! * total magnetic moment: 0.000 μB/cell
! * E_form (uncorrected): 0.286 eV/atom
! * crystal system: tetragonal
! * E: -0.1226 Ry per atom